VASP calculation (PBE) on a relaxed structure of BaLa6Pr12.

```
19
Lattice="8.178 4.722 3.062 -8.178 4.722 3.062 0.000 -9.443 3.062" Properties=species:S:1:pos:R:3 pbc="T T T"
Ba 0.000 0.000 0.000
La -4.298 -0.496 3.025
La 2.579 -3.474 3.025
La -1.719 -3.970 6.162
La 1.719 3.970 3.025
La -2.579 3.474 6.162
La 4.298 0.496 6.162
Pr -0.434 -5.624 3.082
Pr -4.654 3.188 3.082
Pr -0.894 -2.030 3.136
Pr -5.088 -2.437 6.104
Pr -1.311 1.790 3.136
Pr 2.205 0.241 3.136
Pr -2.205 -0.241 6.051
Pr 1.311 -1.790 6.051
Pr 5.088 2.437 3.082
Pr 0.894 2.030 6.051
Pr 4.654 -3.188 6.104
Pr 0.434 5.624 6.104
```

- Calculated formation energy: 0.0405 eV/atom
- SG: R-3
- Crystal system: trigonal

=====

VASP calculation (PBE) on a relaxed structure of BaLaPr2.

```
4
Lattice="1.926 1.112 12.697 -1.926 1.112 12.697 0.000 -2.224 12.697" Properties=species:S:1:pos:R:3 pbc="T T T"
Ba 0.000 0.000 0.000
La 0.000 0.000 31.763
Pr 0.000 0.000 16.073
Pr 0.000 0.000 22.024
```

- Calculated formation energy: 0.1147 eV/atom
- SG: R3m
- Crystal system: trigonal
- Excess energy over the best structure of this formula in the dataset: 1.8 kJ per mole of atoms

=====

VASP calculation (PBE) on a relaxed structure of BaLaPr2.

```
4
Lattice="3.825 0.000 0.000 0.000 3.825 0.000 0.000 0.000 11.161" Properties=species:S:1:pos:R:3 pbc="T T T"
Ba 0.000 0.000 0.000
La 0.000 0.000 5.580
Pr 1.912 1.912 3.108
Pr 1.912 1.912 8.053
```

- Calculated formation energy: 0.0960 eV/atom
- SG: P4/mmm
- Crystal system: tetragonal
- Excess energy over the best structure of this formula in the dataset: 0.0 kJ per mole of atoms

=====

VASP calculation (PBE) on a relaxed structure of BaLa2Pr.

```
4
Lattice="1.924 1.111 12.824 -1.924 1.111 12.824 0.000 -2.221 12.824" Properties=species:S:1:pos:R:3 pbc="T T T"
Ba 0.000 0.000 0.000
La 0.000 0.000 22.166
La 0.000 0.000 29.082
Pr 0.000 0.000 6.389
```

- Calculated formation energy: 0.1051 eV/atom
- SG: R3m
- Crystal system: trigonal
- Excess energy over the best structure of this formula in the dataset: 1.4 kJ per mole of atoms

=====

VASP calculation (PBE) on a relaxed structure of BaLaPr14.

```
16
Lattice="7.499 0.000 0.000 0.000 7.499 0.000 0.000 0.000 10.588" Properties=species:S:1:pos:R:3 pbc="T T T"
Ba 0.000 0.000 0.000
La 3.749 3.749 0.000
Pr 0.000 0.000 5.294
Pr 0.000 3.749 0.000
Pr 0.000 3.749 5.294
Pr 1.917 1.917 2.714
Pr 1.917 1.917 7.874
Pr 1.917 5.582 2.714
Pr 1.917 5.582 7.874
Pr 3.749 0.000 0.000
Pr 3.749 0.000 5.294
Pr 3.749 3.749 5.294
Pr 5.582 1.917 2.714
Pr 5.582 1.917 7.874
Pr 5.582 5.582 2.714
Pr 5.582 5.582 7.874
```

- Calculated formation energy: 0.0486 eV/atom
- SG: P4/mmm
- Crystal system: tetragonal

=====

VASP calculation (PBE) on a relaxed structure of Ba2LaPr.

```
4
Lattice="1.933 1.116 14.074 -1.933 1.116 14.074 0.000 -2.232 14.074" Properties=species:S:1:pos:R:3 pbc="T T T"
Ba 0.000 0.000 3.666
Ba 0.000 0.000 38.555
La 0.000 0.000 21.111
Pr 0.000 0.000 0.000
```

- Calculated formation energy: 0.3087 eV/atom
- SG: R-3m
- Crystal system: trigonal

=====

VASP calculation (PBE) on a relaxed structure of BaLa12Pr6.

```
19
Lattice="8.175 4.720 3.073 -8.175 4.720 3.073 0.000 -9.439 3.073" Properties=species:S:1:pos:R:3 pbc="T T T"
Ba 0.000 0.000 0.000
La -0.444 -5.609 3.086
La -4.636 3.189 3.086
La -0.883 -2.030 3.161
La -5.080 -2.420 6.132
La -1.317 1.780 3.161
La 2.200 0.251 3.161
La -2.200 -0.251 6.058
La 1.317 -1.780 6.058
La 5.080 2.420 3.086
La 0.883 2.030 6.058
La 4.636 -3.189 6.133
La 0.444 5.609 6.133
Pr -4.303 -0.509 3.020
Pr 2.592 -3.473 3.020
Pr -1.711 -3.981 6.199
Pr 1.711 3.981 3.020
Pr -2.592 3.473 6.199
Pr 4.303 0.509 6.199
```

- Calculated formation energy: 0.0411 eV/atom
- SG: R-3
- Crystal system: trigonal

=====

VASP calculation (PBE) on a relaxed structure of BaLaPr2.

```
4
Lattice="5.455 0.000 0.000 0.000 5.455 0.000 0.000 0.000 5.403" Properties=species:S:1:pos:R:3 pbc="T T T"
Ba 0.000 0.000 0.000
La 2.727 2.727 0.000
Pr 0.000 2.727 2.701
Pr 2.727 0.000 2.701
```

- Calculated formation energy: 0.1675 eV/atom
- SG: P4/mmm
- Crystal system: tetragonal
- Excess energy over the best structure of this formula in the dataset: 6.9 kJ per mole of atoms

=====

VASP calculation (PBE) on a relaxed structure of BaLaPr.

```
3
Lattice="-1.930 1.930 8.630 1.930 -1.930 8.630 1.930 1.930 -8.630" Properties=species:S:1:pos:R:3 pbc="T T T"
Ba 0.000 0.000 0.000
La 0.000 0.000 5.461
Pr 0.000 0.000 11.722
```

- Calculated formation energy: 0.1057 eV/atom
- SG: I4mm
- Crystal system: tetragonal
- Excess energy over the best structure of this formula in the dataset: 0.2 kJ per mole of atoms

=====

VASP calculation (PBE) on a relaxed structure of BaLa2Pr.

```
4
Lattice="3.827 0.000 0.000 0.000 3.827 0.000 0.000 0.000 11.252" Properties=species:S:1:pos:R:3 pbc="T T T"
Ba 0.000 0.000 0.000
La 1.914 1.914 3.158
La 1.914 1.914 8.095
Pr 0.000 0.000 5.626
```

- Calculated formation energy: 0.0901 eV/atom
- SG: P4/mmm
- Crystal system: tetragonal
- Excess energy over the best structure of this formula in the dataset: 0.0 kJ per mole of atoms

=====

VASP calculation (PBE) on a relaxed structure of BaLaPr.

```
3
Lattice="3.889 0.000 0.000 -1.944 3.368 0.000 0.000 0.000 9.735" Properties=species:S:1:pos:R:3 pbc="T T T"
Ba 0.000 0.000 0.000
La 0.000 2.245 6.265
Pr 1.944 1.123 3.391
```

- Calculated formation energy: 0.1233 eV/atom
- SG: P3m1
- Crystal system: trigonal
- Excess energy over the best structure of this formula in the dataset: 1.9 kJ per mole of atoms

=====

VASP calculation (PBE) on a relaxed structure of BaLa2Pr.

```
4
Lattice="5.433 0.000 0.000 0.000 5.433 0.000 0.000 0.000 5.456" Properties=species:S:1:pos:R:3 pbc="T T T"
Ba 0.000 0.000 0.000
La 0.000 2.716 2.728
La 2.716 0.000 2.728
Pr 2.716 2.716 0.000
```

- Calculated formation energy: 0.1646 eV/atom
- SG: P4/mmm
- Crystal system: tetragonal
- Excess energy over the best structure of this formula in the dataset: 7.2 kJ per mole of atoms

=====

VASP calculation (PBE) on a relaxed structure of BaLaPr.

```
6
Lattice="2.732 -2.719 0.000 2.732 2.719 0.000 -0.024 0.000 17.262" Properties=species:S:1:pos:R:3 pbc="T T T"
Ba 1.356 0.000 4.283
Ba 4.086 0.000 12.979
La 1.351 0.000 9.811
La 4.090 0.000 7.451
Pr 1.346 0.000 16.080
Pr 4.096 0.000 1.182
```

- Calculated formation energy: 0.1032 eV/atom
- SG: C2/m
- Crystal system: monoclinic
- Excess energy over the best structure of this formula in the dataset: 0.0 kJ per mole of atoms

=====

VASP calculation (PBE) on a relaxed structure of BaLaPr2S4.

```
16
Lattice="-4.190 4.243 5.961 4.190 -4.243 5.961 4.190 4.243 -5.961" Properties=species:S:1:pos:R:3 pbc="T T T"
Ba -2.095 2.122 2.981
Ba 2.095 2.122 2.981
La 0.000 0.000 0.000
La 0.000 4.243 0.000
Pr 2.095 2.122 -2.981
Pr 2.095 -2.122 2.981
Pr 4.190 0.000 0.000
Pr 0.000 0.000 5.961
S 4.190 -0.141 2.973
S 4.190 4.102 -2.973
S 2.102 2.122 -0.092
S 6.279 2.122 -0.092
S -2.088 2.122 6.053
S 2.088 2.122 6.053
S 0.000 0.141 8.935
S 0.000 4.384 2.988
```

- Formation energy (no corrections): -2.029 eV per atom
- SG: Imma
- Crystal system: orthorhombic

=====

VASP calculation (PBE) on a relaxed structure of Ba3LaPr3Se8.

```
15
Lattice="4.377 2.527 7.565 -4.377 2.527 7.565 0.000 -5.054 7.565" Properties=species:S:1:pos:R:3 pbc="T T T"
Ba -2.188 -1.263 7.565
Ba -2.188 1.263 15.131
Ba 0.000 2.527 7.565
La 0.000 0.000 11.348
Pr -4.377 0.000 11.348
Pr -2.188 1.263 3.783
Pr 2.188 1.263 3.783
Se -2.195 -1.267 13.026
Se 0.000 0.000 5.486
Se 0.000 -2.535 9.670
Se -2.195 1.267 9.670
Se 2.195 -1.267 13.026
Se 0.000 2.535 13.026
Se 0.000 0.000 17.210
Se 2.195 1.267 9.670
```

- Formation energy (no corrections): -1.954 eV per atom
- SG: R-3m
- Crystal system: trigonal

=====

VASP calculation (PBE) on a relaxed structure of Ba3La3PrSe8.

```
15
Lattice="4.407 2.545 7.561 -4.407 2.545 7.561 0.000 -5.089 7.561" Properties=species:S:1:pos:R:3 pbc="T T T"
Ba -2.204 -1.272 7.561
Ba -2.204 1.272 15.122
Ba 0.000 2.545 7.561
La -4.407 0.000 11.341
La -2.204 1.272 3.780
La 2.204 1.272 3.780
Pr 0.000 0.000 11.341
Se 0.000 0.000 5.494
Se -2.188 -1.263 13.008
Se 0.000 -2.526 9.675
Se -2.188 1.263 9.675
Se 2.188 -1.263 13.008
Se 0.000 2.526 13.008
Se 2.188 1.263 9.675
Se 0.000 0.000 17.189
```

- Formation energy (no corrections): -1.992 eV per atom
- SG: R-3m
- Crystal system: trigonal

=====

VASP calculation (PBE) on a relaxed structure of BaLa2PrSe4.

```
8
Lattice="7.601 0.000 0.000 0.000 4.365 0.000 -2.499 0.000 7.209" Properties=species:S:1:pos:R:3 pbc="T T T"
Ba 0.000 0.000 0.000
La 2.551 0.000 3.604
La 3.800 2.182 0.000
Pr -1.250 2.182 3.604
Se 0.087 0.000 5.353
Se 1.343 2.182 1.908
Se 3.759 2.182 5.300
Se 5.015 0.000 1.856
```

- Formation energy (no corrections): -1.930 eV per atom
- SG: P2/m
- Crystal system: monoclinic

=====

VASP calculation (PBE) on a relaxed structure of BaLaPr2Se4.

```
8
Lattice="7.585 0.000 0.000 0.000 4.342 0.000 -2.479 0.000 7.190" Properties=species:S:1:pos:R:3 pbc="T T T"
Ba 0.000 0.000 0.000
La 3.793 2.171 0.000
Pr -1.239 2.171 3.595
Pr 2.553 0.000 3.595
Se 0.101 0.000 5.334
Se 1.349 2.171 1.910
Se 3.758 2.171 5.279
Se 5.005 0.000 1.856
```

- Formation energy (no corrections): -1.899 eV per atom
- SG: P2/m
- Crystal system: monoclinic

=====

VASP calculation (PBE) on a relaxed structure of Ba3LaPr2Se6.

```
12
Lattice="3.839 -6.643 0.000 3.839 6.643 0.000 -2.559 0.000 7.464" Properties=species:S:1:pos:R:3 pbc="T T T"
Ba 0.000 0.000 0.000
Ba 3.839 2.215 0.000
Ba 3.839 -2.215 0.000
La 2.560 0.000 3.732
Pr 2.560 4.434 3.732
Pr 2.560 -4.434 3.732
Se 1.277 2.220 2.051
Se -0.004 0.000 5.412
Se 1.277 -2.220 2.051
Se 3.842 2.220 5.413
Se 5.124 0.000 2.051
Se 3.842 -2.220 5.413
```

- Formation energy (no corrections): -1.945 eV per atom
- SG: C2/m
- Crystal system: monoclinic

=====

VASP calculation (PBE) on a relaxed structure of Ba3LaPr2Te6.

```
12
Lattice="4.075 -7.049 0.000 4.075 7.049 0.000 -2.715 0.000 7.928" Properties=species:S:1:pos:R:3 pbc="T T T"
Ba 0.000 0.000 0.000
Ba 4.075 2.347 0.000
Ba 4.075 -2.347 0.000
La 2.718 0.000 3.964
Pr 2.718 4.704 3.964
Pr 2.718 -4.704 3.964
Te 1.356 2.357 2.161
Te -0.006 0.000 5.765
Te 1.356 -2.357 2.161
Te 4.080 2.357 5.766
Te 5.441 0.000 2.163
Te 4.080 -2.357 5.766
```

- Formation energy (no corrections): -1.614 eV per atom
- SG: C2/m
- Crystal system: monoclinic

=====

VASP calculation (PBE) on a relaxed structure of Ba3LaPr3Te8.

```
15
Lattice="8.040 -4.638 0.000 8.040 4.638 0.000 -5.362 0.000 8.039" Properties=species:S:1:pos:R:3 pbc="T T T"
Ba 0.000 0.000 0.000
Ba 4.020 2.319 0.000
Ba 4.020 -2.319 0.000
La -2.681 0.000 4.019
Pr 1.339 2.319 4.019
Pr 1.339 -2.319 4.019
Pr 5.358 0.000 4.019
Te 0.034 0.000 5.839
Te 4.000 2.288 5.839
Te 2.679 0.000 2.195
Te 6.717 2.288 2.200
Te 4.000 -2.288 5.839
Te 8.037 0.000 5.844
Te 6.717 -2.288 2.200
Te 10.683 0.000 2.200
```

- Formation energy (no corrections): -1.598 eV per atom
- SG: C2/m
- Crystal system: monoclinic

=====

VASP calculation (PBE) on a relaxed structure of Ba3La2PrTe6.

```
12
Lattice="4.086 -7.070 0.000 4.086 7.070 0.000 -2.722 0.000 7.929" Properties=species:S:1:pos:R:3 pbc="T T T"
Ba 0.000 0.000 0.000
Ba 4.086 2.362 0.000
Ba 4.086 -2.362 0.000
La 2.725 4.713 3.964
La 2.725 -4.713 3.964
Pr 2.725 0.000 3.964
Te 1.367 2.349 2.160
Te 0.010 0.000 5.775
Te 1.367 -2.349 2.160
Te 4.084 2.349 5.769
Te 5.440 0.000 2.154
Te 4.084 -2.349 5.769
```

- Formation energy (no corrections): -1.638 eV per atom
- SG: C2/m
- Crystal system: monoclinic

=====

VASP calculation (PBE) on a relaxed structure of BaLa2PrTl4.

```
8
Lattice="2.856 1.649 9.376 -2.856 1.649 9.376 0.000 -3.297 9.376" Properties=species:S:1:pos:R:3 pbc="T T T"
Ba 0.000 0.000 0.000
La 0.000 0.000 7.086
La 0.000 0.000 21.042
Pr 0.000 0.000 14.064
Tl 0.000 0.000 3.626
Tl 0.000 0.000 10.735
Tl 0.000 0.000 17.393
Tl 0.000 0.000 24.502
```

- Calculated formation energy: -0.3650 eV/atom
- SG: R-3m
- Crystal system: trigonal